Here is crystalline CsErCuI6 at its relaxed geometry from Alexandria via LeMat-Bulk. Energies are from GGA-PBE.

Values from the calculation:
Calculated total energy: -27.5 eV/f.u.
Volume: 47.4 Å³ per atom
Energy relative to the elements, uncorrected: -0.96 eV per atom
Crystal system: triclinic
SG: P1, No. 1

Cell: 8.9375 7.4214 8.2935 Å, 81.93 76.49 52.95°
Sites, in units of the cell vectors:
Cs 0.0813 0.8374 0.0002
Er 0.6800 0.6400 0.5001
Cu 0.3206 0.3578 0.4997
I 0.9807 0.3674 0.2220
I 0.3828 0.0523 0.7301
I 0.6524 0.3673 0.7781
I 0.9610 0.6635 0.6323
I 0.3760 0.6626 0.3675
I 0.5648 0.0517 0.2698